(1)
# Ho5Bi4Pb

A relaxed Ho5Bi4Pb crystal (PBE-GGA, Alexandria via LeMat-Bulk).

The structure in POSCAR format:
```
Ho5Bi4Pb
1.0
7.416 -2.218 0.000
7.416 2.218 0.000
-5.400 0.000 9.511
Ho Bi Pb
5 4 1
Direct
0.000 0.000 0.000 Ho
0.199 0.199 0.798 Ho
0.401 0.401 0.600 Ho
0.599 0.599 0.400 Ho
0.801 0.801 0.202 Ho
0.199 0.199 0.301 Bi
0.399 0.399 0.098 Bi
0.601 0.601 0.902 Bi
0.801 0.801 0.699 Bi
0.000 0.000 0.500 Pb
```

## Properties
- polymorph energy (0 for the lowest one) (meV/atom) = 0
- symmetry = C2/m, No. 12
- formation enthalpy at 0 K (eV per atom) = -0.73
- Fermi-level density of states (states/eV/cell) = 2.99
- DFT total energy (eV/cell) = -49.45



(2)
# UB4

A relaxed UB4 crystal (PBE-GGA, Alexandria via LeMat-Bulk).

The structure in POSCAR format:
```
UB4
1.0
7.030 0.000 0.000
0.000 7.030 0.000
0.000 0.000 3.957
U B
4 16
Direct
0.190 0.310 0.000 U
0.310 0.810 0.000 U
0.690 0.190 0.000 U
0.810 0.690 0.000 U
0.000 0.000 0.200 B
0.000 0.000 0.800 B
0.039 0.821 0.500 B
0.087 0.587 0.500 B
0.179 0.039 0.500 B
0.321 0.539 0.500 B
0.413 0.087 0.500 B
0.461 0.321 0.500 B
0.500 0.500 0.200 B
0.500 0.500 0.800 B
0.539 0.679 0.500 B
0.587 0.913 0.500 B
0.679 0.461 0.500 B
0.821 0.961 0.500 B
0.913 0.413 0.500 B
0.961 0.179 0.500 B
```

## Properties
- polymorph energy (0 for the lowest one) (meV/atom) = 0
- symmetry = P4/mbm, No. 127
- formation enthalpy at 0 K (eV per atom) = -0.51
- Fermi-level density of states (states/eV/cell) = 14.75
- DFT total energy (eV/cell) = -162.17



(3)
# Ba6AgPt

A relaxed Ba6AgPt crystal (PBE-GGA, Alexandria via LeMat-Bulk).

The structure in POSCAR format:
```
Ba6AgPt
1.0
7.998 0.000 0.000
-3.999 6.926 0.000
0.000 0.000 15.342
Ba Ag Pt
12 2 2
Direct
0.003 0.322 0.121 Ba
0.003 0.681 0.379 Ba
0.319 0.322 0.379 Ba
0.319 0.997 0.121 Ba
0.322 0.003 0.621 Ba
0.322 0.319 0.879 Ba
0.678 0.681 0.121 Ba
0.678 0.997 0.379 Ba
0.681 0.003 0.879 Ba
0.681 0.678 0.621 Ba
0.997 0.319 0.621 Ba
0.997 0.678 0.879 Ba
0.333 0.667 0.750 Ag
0.667 0.333 0.250 Ag
0.000 0.000 0.000 Pt
0.000 0.000 0.500 Pt
```

## Properties
- symmetry = P-31c, No. 163
- formation enthalpy at 0 K (eV per atom) = -0.31
- Fermi-level density of states (states/eV/cell) = 13.79
- DFT total energy (eV/cell) = -45.87



(4)
# Sr8PbAu2

A relaxed Sr8PbAu2 crystal (PBE-GGA, Alexandria via LeMat-Bulk).

The structure in POSCAR format:
```
Sr8PbAu2
1.0
5.012 -7.390 0.000
5.012 7.390 0.000
-1.514 0.000 5.958
Sr Pb Au
8 1 2
Direct
0.000 0.000 0.000 Sr
0.047 0.310 0.611 Sr
0.134 0.615 0.196 Sr
0.310 0.047 0.611 Sr
0.440 0.703 0.781 Sr
0.615 0.134 0.196 Sr
0.703 0.440 0.781 Sr
0.750 0.750 0.392 Sr
0.374 0.374 0.197 Pb
0.060 0.690 0.696 Au
0.690 0.060 0.696 Au
```

## Properties
- symmetry = Cm, No. 8
- formation enthalpy at 0 K (eV per atom) = -0.39
- Fermi-level density of states (states/eV/cell) = 7.98
- DFT total energy (eV/cell) = -28.02



(5)
# Y3Os

A relaxed Y3Os crystal (PBE-GGA, Alexandria via LeMat-Bulk).

The structure in POSCAR format:
```
Y3Os
1.0
3.396 -3.401 0.000
3.396 3.401 0.000
0.000 0.000 4.226
Y Os
3 1
Direct
0.000 0.000 0.000 Y
0.000 0.500 0.500 Y
0.500 0.000 0.500 Y
0.500 0.500 0.000 Os
```

## Properties
- symmetry = Cmmm, No. 65
- formation enthalpy at 0 K (eV per atom) = 0.19
- Fermi-level density of states (states/eV/cell) = 4.67
- DFT total energy (eV/cell) = -29.86



(6)
# ErMg15Sc4

A relaxed ErMg15Sc4 crystal (PBE-GGA, Alexandria via LeMat-Bulk).

The structure in POSCAR format:
```
ErMg15Sc4
1.0
4.577 0.000 0.000
0.000 4.577 0.000
0.000 0.000 22.265
Er Mg Sc
1 15 4
Direct
0.000 0.000 0.000 Er
0.000 0.500 0.105 Mg
0.000 0.500 0.303 Mg
0.000 0.500 0.500 Mg
0.000 0.500 0.697 Mg
0.000 0.500 0.895 Mg
0.500 0.000 0.105 Mg
0.500 0.000 0.303 Mg
0.500 0.000 0.500 Mg
0.500 0.000 0.697 Mg
0.500 0.000 0.895 Mg
0.500 0.500 0.000 Mg
0.500 0.500 0.204 Mg
0.500 0.500 0.402 Mg
0.500 0.500 0.598 Mg
0.500 0.500 0.796 Mg
0.000 0.000 0.204 Sc
0.000 0.000 0.402 Sc
0.000 0.000 0.598 Sc
0.000 0.000 0.796 Sc
```

## Properties
- symmetry = P4/mmm, No. 123
- formation enthalpy at 0 K (eV per atom) = -0.04
- Fermi-level density of states (states/eV/cell) = 16.79
- DFT total energy (eV/cell) = -54.65



(7)
# TbPaTeAs

A relaxed TbPaTeAs crystal (PBE-GGA, Alexandria via LeMat-Bulk).

The structure in POSCAR format:
```
TbPaTeAs
1.0
2.042 1.179 7.516
-2.042 1.179 7.516
0.000 -2.358 7.516
Tb Pa Te As
1 1 1 1
Direct
0.000 0.000 0.000 Tb
0.811 0.811 0.811 Pa
0.238 0.238 0.238 Te
0.406 0.406 0.406 As
```

## Properties
- formation energy from raw total energies (kcal/mol of atoms) = -25.9
- symmetry = R3m, No. 160
- Fermi-level density of states (states/eV/cell) = 4.91
- DFT total energy (eV/cell) = -26.41



(8)
# Ho2InPd6

A relaxed Ho2InPd6 crystal (PBE-GGA, Alexandria via LeMat-Bulk).

The structure in POSCAR format:
```
Ho2InPd6
1.0
7.150 -3.668 0.000
7.150 3.668 0.000
-0.006 0.000 3.343
Ho In Pd
2 1 6
Direct
0.191 0.191 0.499 Ho
0.809 0.809 0.501 Ho
0.500 0.500 0.000 In
0.145 0.538 0.000 Pd
0.194 0.806 0.500 Pd
0.462 0.855 0.000 Pd
0.538 0.145 0.000 Pd
0.806 0.194 0.500 Pd
0.855 0.462 0.000 Pd
```

## Properties
- symmetry = C2/m, No. 12
- formation enthalpy at 0 K (eV per atom) = -0.59
- Fermi-level density of states (states/eV/cell) = 5.47
- DFT total energy (eV/cell) = -48.38



(9)
# NbHPb2

A relaxed NbHPb2 crystal (PBE-GGA, Alexandria via LeMat-Bulk).

The structure in POSCAR format:
```
NbHPb2
1.0
-3.389 3.389 3.390
3.389 -3.389 3.390
3.389 3.389 -3.390
Nb H Pb
2 2 4
Direct
0.000 0.000 0.000 Nb
0.750 0.250 0.500 Nb
0.250 0.750 0.500 H
0.500 0.500 0.000 H
0.209 0.625 0.084 Pb
0.375 0.459 0.584 Pb
0.541 0.125 0.916 Pb
0.875 0.791 0.416 Pb
```

## Properties
- polymorph energy (0 for the lowest one) (meV/atom) = 0
- symmetry = I-42d, No. 122
- Fermi-level density of states (states/eV/cell) = 1.06
- DFT total energy (eV/cell) = -36.75



(10)
# PdPbAu

A relaxed PdPbAu crystal (PBE-GGA, Alexandria via LeMat-Bulk).

The structure in POSCAR format:
```
PdPbAu
1.0
4.777 0.000 0.000
0.000 4.777 0.000
0.000 0.000 6.107
Pd Pb Au
2 2 2
Direct
0.000 0.000 0.250 Pd
0.000 0.000 0.750 Pd
0.000 0.500 0.000 Pb
0.500 0.000 0.500 Pb
0.000 0.500 0.500 Au
0.500 0.000 0.000 Au
```

## Properties
- polymorph energy (0 for the lowest one) (meV/atom) = 46
- symmetry = P4_2/mmc, No. 131
- formation enthalpy at 0 K (eV per atom) = -0.12
- Fermi-level density of states (states/eV/cell) = 2.44
- DFT total energy (eV/cell) = -25.06



(11)
# CaC3Cl

A relaxed CaC3Cl crystal (PBE-GGA, Alexandria via LeMat-Bulk).

The structure in POSCAR format:
```
CaC3Cl
1.0
4.943 0.000 0.000
0.000 4.943 0.000
0.000 0.000 4.943
Ca C Cl
1 3 1
Direct
0.000 0.000 0.000 Ca
0.000 0.000 0.500 C
0.000 0.500 0.000 C
0.500 0.000 0.000 C
0.500 0.500 0.500 Cl
```

## Properties
- formation energy from raw total energies (kcal/mol of atoms) = 78.6
- polymorph energy (0 for the lowest one) (meV/atom) = 709
- symmetry = Pm-3m, No. 221
- Fermi-level density of states (states/eV/cell) = 6.80
- DFT total energy (eV/cell) = -14.47



(12)
# CeDyTm3

A relaxed CeDyTm3 crystal (PBE-GGA, Alexandria via LeMat-Bulk).

The structure in POSCAR format:
```
CeDyTm3
1.0
2.700 -5.677 0.000
2.700 5.677 0.000
-0.034 0.000 10.966
Ce Dy Tm
2 2 6
Direct
0.133 0.867 0.000 Ce
0.867 0.133 0.000 Ce
0.155 0.845 0.500 Dy
0.845 0.155 0.500 Dy
0.002 0.002 0.254 Tm
0.336 0.661 0.761 Tm
0.339 0.664 0.239 Tm
0.661 0.336 0.761 Tm
0.664 0.339 0.239 Tm
0.998 0.998 0.746 Tm
```

## Properties
- polymorph energy (0 for the lowest one) (meV/atom) = 3
- symmetry = C2/m, No. 12
- formation enthalpy at 0 K (eV per atom) = 0.42
- Fermi-level density of states (states/eV/cell) = 21.90
- DFT total energy (eV/cell) = -43.67



(13)
# Tb3InAg

A relaxed Tb3InAg crystal (PBE-GGA, Alexandria via LeMat-Bulk).

The structure in POSCAR format:
```
Tb3InAg
1.0
2.572 -10.367 0.000
2.572 10.367 0.000
0.000 0.000 5.143
Tb In Ag
6 2 2
Direct
0.061 0.939 0.750 Tb
0.249 0.751 0.750 Tb
0.437 0.563 0.750 Tb
0.563 0.437 0.250 Tb
0.751 0.249 0.250 Tb
0.939 0.061 0.250 Tb
0.156 0.844 0.250 In
0.844 0.156 0.750 In
0.342 0.658 0.250 Ag
0.658 0.342 0.750 Ag
```

## Properties
- polymorph energy (0 for the lowest one) (meV/atom) = 0
- symmetry = Cmcm, No. 63
- formation enthalpy at 0 K (eV per atom) = -0.29
- Fermi-level density of states (states/eV/cell) = 12.13
- DFT total energy (eV/cell) = -41.82



(14)
# Y4TmTl

A relaxed Y4TmTl crystal (PBE-GGA, Alexandria via LeMat-Bulk).

The structure in POSCAR format:
```
Y4TmTl
1.0
3.603 0.000 0.000
0.000 3.603 0.000
0.000 0.000 14.145
Y Tm Tl
4 1 1
Direct
0.000 0.000 0.149 Y
0.000 0.000 0.851 Y
0.500 0.500 0.327 Y
0.500 0.500 0.673 Y
0.000 0.000 0.500 Tm
0.500 0.500 0.000 Tl
```

## Properties
- symmetry = P4/mmm, No. 123
- formation enthalpy at 0 K (eV per atom) = -0.11
- Fermi-level density of states (states/eV/cell) = 7.02
- DFT total energy (eV/cell) = -33.38



(15)
# AsSeCl2

A relaxed AsSeCl2 crystal (PBE-GGA, Alexandria via LeMat-Bulk).

The structure in POSCAR format:
```
AsSeCl2
1.0
3.336 -1.890 0.000
3.336 1.890 0.000
-0.311 0.000 7.788
As Se Cl
1 1 2
Direct
0.000 0.000 0.000 As
0.652 0.652 0.193 Se
0.263 0.263 0.780 Cl
0.447 0.447 0.453 Cl
```

## Properties
- formation energy from raw total energies (kcal/mol of atoms) = -3.2
- polymorph energy (0 for the lowest one) (meV/atom) = 185
- symmetry = Cm, No. 8
- Fermi-level density of states (states/eV/cell) = 1.51
- DFT total energy (eV/cell) = -12.38



(16)
# TlReRh2

A relaxed TlReRh2 crystal (PBE-GGA, Alexandria via LeMat-Bulk).

The structure in POSCAR format:
```
TlReRh2
1.0
-1.412 2.125 5.919
1.412 -2.125 5.919
1.412 2.125 -5.919
Tl Re Rh
1 1 2
Direct
0.000 0.000 0.000 Tl
0.767 0.267 0.500 Re
0.335 0.835 0.500 Rh
0.589 0.589 0.000 Rh
```

## Properties
- polymorph energy (0 for the lowest one) (meV/atom) = 286
- symmetry = Imm2, No. 44
- formation enthalpy at 0 K (eV per atom) = 0.37
- Fermi-level density of states (states/eV/cell) = 1.61
- DFT total energy (eV/cell) = -28.05



(17)
# AlAg2O

A relaxed AlAg2O crystal (PBE-GGA, Alexandria via LeMat-Bulk).

The structure in POSCAR format:
```
AlAg2O
1.0
-4.573 4.573 1.729
4.573 -4.573 1.729
4.573 4.573 -1.729
Al Ag O
2 4 2
Direct
0.000 0.000 0.000 Al
0.750 0.250 0.500 Al
0.242 0.625 0.117 Ag
0.375 0.492 0.617 Ag
0.508 0.125 0.883 Ag
0.875 0.758 0.383 Ag
0.250 0.750 0.500 O
0.500 0.500 0.000 O
```

## Properties
- formation energy from raw total energies (kcal/mol of atoms) = -10.0
- polymorph energy (0 for the lowest one) (meV/atom) = 0
- symmetry = I-42d, No. 122
- Fermi-level density of states (states/eV/cell) = 2.25
- DFT total energy (eV/cell) = -32.27



(18)
# Sm2Sb5

A relaxed Sm2Sb5 crystal (PBE-GGA, Alexandria via LeMat-Bulk).

The structure in POSCAR format:
```
Sm2Sb5
1.0
13.433 0.000 0.000
0.000 4.262 0.000
-3.194 0.000 14.690
Sm Sb
8 20
Direct
0.049 0.250 0.364 Sm
0.331 0.250 0.578 Sm
0.336 0.250 0.856 Sm
0.394 0.750 0.229 Sm
0.606 0.250 0.771 Sm
0.664 0.750 0.144 Sm
0.669 0.750 0.422 Sm
0.951 0.750 0.636 Sm
0.032 0.250 0.107 Sb
0.138 0.250 0.676 Sb
0.142 0.750 0.224 Sb
0.144 0.750 0.521 Sb
0.150 0.750 0.822 Sb
0.282 0.250 0.060 Sb
0.290 0.250 0.352 Sb
0.420 0.750 0.025 Sb
0.424 0.750 0.448 Sb
0.424 0.750 0.735 Sb
0.576 0.250 0.265 Sb
0.576 0.250 0.552 Sb
0.580 0.250 0.975 Sb
0.710 0.750 0.648 Sb
0.718 0.750 0.940 Sb
0.850 0.250 0.178 Sb
0.856 0.250 0.479 Sb
0.858 0.250 0.776 Sb
0.862 0.750 0.324 Sb
0.968 0.750 0.893 Sb
```

## Properties
- formation energy from raw total energies (kcal/mol of atoms) = -15.8
- symmetry = P2_1/m, No. 11
- Fermi-level density of states (states/eV/cell) = 6.16
- DFT total energy (eV/cell) = -139.41



(19)
# Sc2AlNi

A relaxed Sc2AlNi crystal (PBE-GGA, Alexandria via LeMat-Bulk).

The structure in POSCAR format:
```
Sc2AlNi
1.0
3.049 0.000 0.000
0.000 3.049 0.000
0.000 0.000 7.784
Sc Al Ni
2 1 1
Direct
0.000 0.000 0.000 Sc
0.500 0.500 0.344 Sc
0.000 0.000 0.613 Al
0.500 0.500 0.781 Ni
```

## Properties
- symmetry = P4mm, No. 99
- formation enthalpy at 0 K (eV per atom) = -0.37
- Fermi-level density of states (states/eV/cell) = 3.90
- DFT total energy (eV/cell) = -23.65



(20)
# Nd6Cd2Hg

A relaxed Nd6Cd2Hg crystal (PBE-GGA, Alexandria via LeMat-Bulk).

The structure in POSCAR format:
```
Nd6Cd2Hg
1.0
6.554 0.000 0.000
0.000 8.799 0.000
-5.349 0.000 9.978
Nd Cd Hg
12 4 2
Direct
0.068 0.063 0.222 Nd
0.068 0.437 0.722 Nd
0.175 0.714 0.071 Nd
0.175 0.786 0.571 Nd
0.403 0.153 0.046 Nd
0.403 0.347 0.546 Nd
0.597 0.653 0.454 Nd
0.597 0.847 0.954 Nd
0.825 0.214 0.429 Nd
0.825 0.286 0.929 Nd
0.932 0.563 0.278 Nd
0.932 0.937 0.778 Nd
0.322 0.111 0.729 Cd
0.322 0.389 0.229 Cd
0.678 0.611 0.771 Cd
0.678 0.889 0.271 Cd
0.500 0.000 0.500 Hg
0.500 0.500 0.000 Hg
```

## Properties
- polymorph energy (0 for the lowest one) (meV/atom) = 95
- symmetry = P2_1/c, No. 14
- formation enthalpy at 0 K (eV per atom) = -0.12
- Fermi-level density of states (states/eV/cell) = 21.00
- DFT total energy (eV/cell) = -63.70



(21)
# ZrRe3P

A relaxed ZrRe3P crystal (PBE-GGA, Alexandria via LeMat-Bulk).

The structure in POSCAR format:
```
ZrRe3P
1.0
4.413 0.000 0.000
0.000 4.413 0.000
0.000 0.000 4.413
Zr Re P
1 3 1
Direct
0.000 0.000 0.000 Zr
0.000 0.500 0.500 Re
0.500 0.000 0.500 Re
0.500 0.500 0.000 Re
0.500 0.500 0.500 P
```

## Properties
- polymorph energy (0 for the lowest one) (meV/atom) = 0
- symmetry = Pm-3m, No. 221
- formation enthalpy at 0 K (eV per atom) = 0.31
- Fermi-level density of states (states/eV/cell) = 3.32
- DFT total energy (eV/cell) = -49.75



(22)
# YMg3V

A relaxed YMg3V crystal (PBE-GGA, Alexandria via LeMat-Bulk).

The structure in POSCAR format:
```
YMg3V
1.0
5.089 0.000 0.000
0.000 5.089 0.000
0.000 0.000 5.089
Y Mg V
1 3 1
Direct
0.000 0.000 0.000 Y
0.000 0.500 0.500 Mg
0.500 0.000 0.500 Mg
0.500 0.500 0.000 Mg
0.500 0.500 0.500 V
```

## Properties
- polymorph energy (0 for the lowest one) (meV/atom) = 0
- symmetry = Pm-3m, No. 221
- formation enthalpy at 0 K (eV per atom) = 0.58
- Fermi-level density of states (states/eV/cell) = 4.45
- DFT total energy (eV/cell) = -17.45



(23)
# AcPmTmTl

A relaxed AcPmTmTl crystal (PBE-GGA, Alexandria via LeMat-Bulk).

The structure in POSCAR format:
```
AcPmTmTl
1.0
0.000 3.991 3.991
3.991 0.000 3.991
3.991 3.991 0.000
Ac Pm Tm Tl
1 1 1 1
Direct
0.000 0.000 0.000 Ac
0.750 0.750 0.750 Pm
0.250 0.250 0.250 Tm
0.500 0.500 0.500 Tl
```

## Properties
- symmetry = F-43m, No. 216
- formation enthalpy at 0 K (eV per atom) = 0.05
- Fermi-level density of states (states/eV/cell) = 7.66
- DFT total energy (eV/cell) = -15.51